No. 1
! CuPt3 | Alexandria | PBE-GGA | relaxed; values from VASP
&SYSTEM
  ibrav = 0, nat = 4, ntyp = 2
/
ATOMIC_SPECIES
Cu 63.55 Cu.upf
Pt 195.08 Pt.upf
ATOMIC_POSITIONS crystal
Cu 0.0000 0.0000 0.0000
Pt 0.0687 0.3185 0.7502
Pt 0.5024 0.0024 0.5000
Pt 0.5683 0.3185 0.2498
CELL_PARAMETERS angstrom
-1.3747 4.5642 2.3876
1.3747 -4.5642 2.3876
1.3747 4.5642 -2.3876
! - V (Å³ per atom) = 14.98
! - ΔH_f (0 K) (eV per formula unit) = -0.33
! - theoretical density (kg/m³) = 17979
! - space-group type = Imm2

No. 2
! Ca5SbPb2 | Alexandria | PBE-GGA | relaxed; values from VASP
&SYSTEM
  ibrav = 0, nat = 16, ntyp = 3
/
ATOMIC_SPECIES
Ca 40.08 Ca.upf
Sb 121.76 Sb.upf
Pb 207.20 Pb.upf
ATOMIC_POSITIONS crystal
Ca 0.0000 0.0000 0.0000
Ca 0.0182 0.5182 0.8314
Ca 0.1868 0.0182 0.5000
Ca 0.3132 0.8132 0.8314
Ca 0.4818 0.3132 0.5000
Ca 0.5000 0.5000 0.0000
Ca 0.5182 0.6868 0.5000
Ca 0.6868 0.1868 0.1686
Ca 0.8132 0.9818 0.5000
Ca 0.9818 0.4818 0.1686
Sb 0.2500 0.2500 0.0000
Sb 0.7500 0.7500 0.0000
Pb 0.1326 0.3674 0.5000
Pb 0.3674 0.8674 0.2349
Pb 0.6325 0.1326 0.7651
Pb 0.8674 0.6325 0.5000
CELL_PARAMETERS angstrom
-4.1294 4.1294 7.5273
4.1294 -4.1294 7.5273
4.1294 4.1294 -7.5273
! - V (Å³ per atom) = 32.09
! - theoretical density (kg/m³) = 4764
! - space-group type = I4/mcm
! - formation energy without anion corrections (meV/atom) = -661

Number 1: total energy -22.54 eV per cell. Number 2: total energy -53.67 eV per cell.